Entry 1:
! PuInBiSb | Alexandria via LeMat-Bulk | GGA-PBE | optimized geometry; values from VASP
! Distance to the lowest polymorph of the same formula, meV/atom: 221.9
! Formation energy without anion corrections, eV per atom: -0.088
! Volume, Å³ per cell: 115
&SYSTEM
  ibrav = 0, nat = 4, ntyp = 4
/
ATOMIC_SPECIES
Pu 244.00 Pu.upf
In 114.82 In.upf
Bi 208.98 Bi.upf
Sb 121.76 Sb.upf
ATOMIC_POSITIONS crystal
Pu 0.0000 0.0000 0.0000
In 0.5000 0.5000 0.5000
Bi 0.7500 0.7500 0.7500
Sb 0.2500 0.2500 0.2500
CELL_PARAMETERS angstrom
0.0000 3.8556 3.8556
3.8556 0.0000 3.8556
3.8556 3.8556 0.0000

Entry 2:
! PuInBiSb | Alexandria via LeMat-Bulk | GGA-PBE | optimized geometry; values from VASP
! Distance to the lowest polymorph of the same formula, meV/atom: 0.0
! Formation energy without anion corrections, eV per atom: -0.310
! Volume, Å³ per cell: 108
&SYSTEM
  ibrav = 0, nat = 4, ntyp = 4
/
ATOMIC_SPECIES
Pu 244.00 Pu.upf
In 114.82 In.upf
Bi 208.98 Bi.upf
Sb 121.76 Sb.upf
ATOMIC_POSITIONS crystal
Pu 0.0000 0.0000 0.0000
In 0.0000 0.5000 0.5000
Bi 0.5000 0.0000 0.5000
Sb 0.5000 0.5000 0.0000
CELL_PARAMETERS angstrom
4.4992 0.0000 0.0000
0.0000 4.8283 0.0000
0.0000 0.0000 4.9857

Entry 3:
! PuScInBi | Alexandria via LeMat-Bulk | GGA-PBE | optimized geometry; values from VASP
! Volume, Å³ per cell: 105
! Formation enthalpy at 0 K, kJ per mole of atoms: -25.2
&SYSTEM
  ibrav = 0, nat = 4, ntyp = 4
/
ATOMIC_SPECIES
Pu 244.00 Pu.upf
Sc 44.96 Sc.upf
In 114.82 In.upf
Bi 208.98 Bi.upf
ATOMIC_POSITIONS crystal
Pu 0.0000 0.0000 0.0000
Sc 0.5000 0.5000 0.5000
In 0.2500 0.2500 0.2500
Bi 0.7500 0.7500 0.7500
CELL_PARAMETERS angstrom
0.0000 3.7428 3.7428
3.7428 0.0000 3.7428
3.7428 3.7428 0.0000